Record 1
{"formula": "Be2HgSbIr", "functional": "GGA-PBE", "state": "relaxed", "dos_ef_per_ev_cell": 1.4, "magmom_total_mub_per_fu": 0.0, "formation_energy_uncorrected_ev_per_atom": 0.306, "lattice": [[4.4390, 0.0000, 0.0000], [0.0000, 4.4390, 0.0000], [0.0000, 0.0000, 5.0848]], "species": ["Be", "Be", "Hg", "Sb", "Ir"], "frac_coords": [[0.0000, 0.5000, 0.0000], [0.5000, 0.0000, 0.0000], [0.0000, 0.0000, 0.5000], [0.5000, 0.5000, 0.5000], [0.5000, 0.5000, 0.0000]]}

***

Record 2
{"formula": "Al3Pt2", "functional": "GGA-PBE", "state": "relaxed", "dos_ef_per_ev_cell": 3.9, "magmom_total_mub_per_fu": 0.0, "e_form_ev_per_atom": -0.747, "lattice": [[0.0000, 6.6335, 2.3827], [4.7946, 0.0000, 2.3827], [4.7946, 6.6335, 0.0000]], "species": ["Al", "Al", "Al", "Al", "Al", "Al", "Pt", "Pt", "Pt", "Pt"], "frac_coords": [[0.0000, 0.0000, 0.0000], [0.2500, 0.2500, 0.2500], [0.3629, 0.6653, 0.4278], [0.6653, 0.3629, 0.5440], [0.7060, 0.8222, 0.5847], [0.8222, 0.7060, 0.8871], [0.1274, 0.4306, 0.9911], [0.2589, 0.7991, 0.1226], [0.4306, 0.1274, 0.4509], [0.7991, 0.2589, 0.8194]]}

***

Record 3
{"formula": "Sr3GaRe", "functional": "GGA-PBE", "state": "relaxed", "dos_ef_per_ev_cell": 2.9, "magmom_total_mub_per_fu": 0.0, "e_form_ev_per_atom": 0.776, "lattice": [[5.7788, 0.0000, 0.0000], [0.0000, 5.7788, 0.0000], [0.0000, 0.0000, 5.7788]], "species": ["Sr", "Sr", "Sr", "Ga", "Re"], "frac_coords": [[0.0000, 0.0000, 0.5000], [0.0000, 0.5000, 0.0000], [0.5000, 0.0000, 0.0000], [0.5000, 0.5000, 0.5000], [0.0000, 0.0000, 0.0000]]}

***

Record 4
{"formula": "La2BrN", "functional": "GGA-PBE", "state": "relaxed", "dos_ef_per_ev_cell": 2.3, "magmom_total_mub_per_fu": 1.9, "formation_energy_uncorrected_ev_per_atom": -1.191, "lattice": [[-3.2302, 3.2302, 5.9010], [3.2302, -3.2302, 5.9010], [3.2302, 3.2302, -5.9010]], "species": ["La", "La", "La", "La", "Br", "Br", "N", "N"], "frac_coords": [[0.0347, 0.6250, 0.9097], [0.3750, 0.2847, 0.4097], [0.7153, 0.1250, 0.0903], [0.8750, 0.9653, 0.5903], [0.2500, 0.7500, 0.5000], [0.5000, 0.5000, 0.0000], [0.0000, 0.0000, 0.0000], [0.7500, 0.2500, 0.5000]]}